A relaxed NpCr2H8 crystal. Source: Alexandria, functional PBE.

Computed properties:
* DOS at the Fermi energy: 7.66 states/eV/cell
* DFT total energy: -0.1962 hartree per atom

The structure in CIF format:
```
data_NpCr2H8
_chemical_formula_sum 'Np1 Cr2 H8'
_cell_length_a 4.1243
_cell_length_b 4.1243
_cell_length_c 4.8676
_cell_angle_alpha 90.00
_cell_angle_beta 90.00
_cell_angle_gamma 90.00
_symmetry_space_group_name_H-M 'P 4/m m m'
_symmetry_Int_Tables_number 123
_symmetry_space_group_name_Hall '-P 4 2'
loop_
_atom_site_label
_atom_site_type_symbol
_atom_site_fract_x
_atom_site_fract_y
_atom_site_fract_z
Np1 Np 0.0000 0.0000 0.0000
Cr1 Cr 0.0000 0.5000 0.5000
H1 H 0.2807 0.2807 0.2984
```